A plane-wave DFT calculation with PBE was carried out for crystalline PmTmSn at its relaxed geometry.

```
PmTmSn
1.0
3.342 0.000 0.000
0.000 3.342 0.000
-1.671 -1.671 8.701
Tm Sn Pm
1 1 1
Cartesian
1.671 1.671 4.517
0.000 0.000 2.356
1.671 1.671 7.919
```

For the formation energy, the calculation gives 0.13 eV/atom. The energy above the lowest structure with this stoichiometry is 746 meV per atom. The value obtained for the magnetic moment is 0.07 Bohr magnetons per cell. The value obtained for the electronic total energy is -12.82 eV for the cell shown.